# TaVRh (PBE, optimized geometry)
# Formation enthalpy at 0 K ... 123 kJ/mol of formula units
# V ... 17.12 Å³/atom
# Energy above the most stable polymorph in this dataset ... 0.746 eV per atom
# Size of the total moment ... 0.00 μB/f.u.
# Final energy ... -54.092 eV for the cell shown
data_TaVRh
_cell_length_a 2.7741
_cell_length_b 2.7741
_cell_length_c 13.3472
_cell_angle_alpha 90.00
_cell_angle_beta 90.00
_cell_angle_gamma 90.00
_space_group_name_H-M_alt 'I 4 m m'
_space_group_IT_number 107
_space_group_name_Hall 'I 4 -2'
loop_
_atom_site_label
_atom_site_fract_x
_atom_site_fract_y
_atom_site_fract_z
Ta1 0.0000 0.0000 0.0000
V1 0.0000 0.0000 0.8121
Rh1 0.0000 0.0000 0.1938